Computed, not measured: a geometry-optimized MgMnIO6 structure at the GGA+U level of DFT.

Cell lengths 5.1565, 5.1565, 8.8670 Å; angles 90.00, 90.00, 120.00 degrees
Fractional positions:
Mg 0.3333 0.6667 0.2500
Mg 0.6667 0.3333 0.7500
Mn 0.0000 0.0000 0.0000
Mn 0.0000 0.0000 0.5000
I 0.3333 0.6667 0.7500
I 0.6667 0.3333 0.2500
O 0.0243 0.3596 0.6311
O 0.0243 0.6647 0.8689
O 0.3353 0.3596 0.8689
O 0.3353 0.9757 0.6311
O 0.3596 0.0243 0.1311
O 0.3596 0.3353 0.3689
O 0.6404 0.6647 0.6311
O 0.6404 0.9757 0.8689
O 0.6647 0.0243 0.3689
O 0.6647 0.6404 0.1311
O 0.9757 0.3353 0.1311
O 0.9757 0.6404 0.3689

Output
For the density, the calculation gives 4.91 g/cm³. The value obtained for the uncorrected energy is -5.591 eV/atom.

---

Computed, not measured: a geometry-optimized Mg2MnIO6 structure at the GGA+U level of DFT.

Cell lengths 5.6665, 5.6665, 5.6665 Å; angles 56.05, 56.05, 56.05 degrees
Fractional positions:
Mg 0.0000 0.0000 0.0000
Mg 0.4920 0.4920 0.4920
Mn 0.2070 0.2070 0.2070
I 0.6974 0.6974 0.6974
O 0.0900 0.4116 0.7989
O 0.3131 0.8911 0.6127
O 0.4116 0.7989 0.0900
O 0.6127 0.3131 0.8911
O 0.7989 0.0900 0.4116
O 0.8911 0.6127 0.3131

Output
For the density, the calculation gives 4.64 g/cm³. The value obtained for the uncorrected energy is -5.741 eV/atom.

---

Computed, not measured: a geometry-optimized MgMnIO2 structure at the GGA+U level of DFT.

Cell lengths 3.9399, 3.9399, 5.7602 Å; angles 90.00, 90.00, 90.00 degrees
Fractional positions:
Mg 0.0000 0.0000 0.0000
Mn 0.5000 0.5000 0.5000
I 0.5000 0.5000 0.0000
O 0.0000 0.5000 0.5000
O 0.5000 0.0000 0.5000

Output
For the density, the calculation gives 4.42 g/cm³. The energy relative to the lowest polymorph listed for this composition comes out at 0.0 kJ/mol of formula units. The value obtained for the uncorrected energy is -4.759 eV/atom.

---

Computed, not measured: a geometry-optimized MgMnIO2 structure at the GGA+U level of DFT.

Cell lengths 4.0347, 4.0347, 5.7128 Å; angles 90.00, 90.00, 90.00 degrees
Fractional positions:
Mg 0.0000 0.0000 0.0000
Mn 0.5000 0.5000 0.5000
I 0.0000 0.0000 0.5000
O 0.0000 0.5000 0.0000
O 0.5000 0.0000 0.0000

Output
For the density, the calculation gives 4.25 g/cm³. The energy relative to the lowest polymorph listed for this composition comes out at 42.5 kJ/mol of formula units. The value obtained for the uncorrected energy is -4.671 eV/atom.